Entry 1:
## ZrB2PdPt (GGA-PBE)

Data for crystalline ZrB2PdPt at its relaxed geometry.

Crystal system = tetragonal
ΔE_f = 0.636 eV per atom
Space group = P4/mmm, No. 123
Volume = 16.36 Å³ per atom
E_tot = -5.9916 eV per atom

Cell: 3.980 3.980 5.166 Å, 90.00 90.00 90.00°
Fractional coordinates of all 5 atoms:
Zr 0.000 0.000 0.000
B 0.000 0.500 0.500
B 0.500 0.000 0.500
Pd 0.500 0.500 0.500
Pt 0.500 0.500 0.000


Entry 2:
## PuBPd (GGA-PBE)

Data for crystalline PuBPd at its relaxed geometry.

Crystal system = orthorhombic
ΔE_f = -0.091 eV per atom
Space group = Cmcm, No. 63
Volume = 14.27 Å³ per atom
E_tot = -8.8255 eV per atom

Cell: 6.811 6.811 3.118 Å, 90.00 90.00 143.69°
Fractional coordinates of all 6 atoms:
Pu 0.069 0.931 0.750
Pu 0.931 0.069 0.250
B 0.467 0.533 0.750
B 0.533 0.467 0.250
Pd 0.296 0.704 0.750
Pd 0.704 0.296 0.250


Entry 3:
## Pu2BPd6 (GGA-PBE)

Data for crystalline Pu2BPd6 at its relaxed geometry.

Crystal system = monoclinic
ΔE_f = -0.513 eV per atom
Space group = C2/m, No. 12
Volume = 17.05 Å³ per atom
E_tot = -7.9017 eV per atom

Cell: 5.992 5.992 6.154 Å, 120.79 120.79 59.22°
Fractional coordinates of all 9 atoms:
Pu 0.244 0.244 0.244
Pu 0.756 0.756 0.756
B 0.500 0.500 0.000
Pd 0.244 0.244 0.743
Pd 0.249 0.750 0.740
Pd 0.250 0.751 0.260
Pd 0.750 0.249 0.740
Pd 0.751 0.250 0.260
Pd 0.756 0.756 0.257


Entry 4:
## Pu3BPd2Rh3 (GGA-PBE)

Data for crystalline Pu3BPd2Rh3 at its relaxed geometry.

Crystal system = hexagonal
ΔE_f = -0.414 eV per atom
Space group = P-62m, No. 189
Volume = 17.92 Å³ per atom
E_tot = -9.5380 eV per atom

Cell: 7.325 7.325 3.471 Å, 90.00 90.00 120.00°
Fractional coordinates of all 9 atoms:
Pu 0.000 0.377 0.000
Pu 0.377 0.000 0.000
Pu 0.623 0.623 0.000
B 0.000 0.000 0.000
Pd 0.333 0.667 0.500
Pd 0.667 0.333 0.500
Rh 0.000 0.785 0.500
Rh 0.215 0.215 0.500
Rh 0.785 0.000 0.500


Entry 5:
## Pu3B2PdRh9 (GGA-PBE)

Data for crystalline Pu3B2PdRh9 at its relaxed geometry.

Crystal system = trigonal
ΔE_f = -0.307 eV per atom
Space group = P-3m1, No. 164
Volume = 16.97 Å³ per atom
E_tot = -8.8213 eV per atom

Cell: 5.759 5.759 8.865 Å, 90.00 90.00 120.00°
Fractional coordinates of all 15 atoms:
Pu 0.000 0.000 0.000
Pu 0.333 0.667 0.647
Pu 0.667 0.333 0.353
B 0.333 0.667 0.145
B 0.667 0.333 0.855
Pd 0.000 0.000 0.500
Rh 0.000 0.500 0.000
Rh 0.161 0.323 0.269
Rh 0.161 0.839 0.269
Rh 0.323 0.161 0.731
Rh 0.500 0.000 0.000
Rh 0.500 0.500 0.000
Rh 0.677 0.839 0.269
Rh 0.839 0.161 0.731
Rh 0.839 0.677 0.731


Entry 6:
## Pu3SiB2Pd8 (GGA-PBE)

Data for crystalline Pu3SiB2Pd8 at its relaxed geometry.

Crystal system = trigonal
Space group = P-3m1, No. 164
Volume = 17.07 Å³ per atom
E_tot = -7.7383 eV per atom

Cell: 5.394 5.394 9.484 Å, 90.00 90.00 120.00°
Fractional coordinates of all 14 atoms:
Pu 0.000 0.000 0.000
Pu 0.333 0.667 0.568
Pu 0.667 0.333 0.432
Si 0.000 0.000 0.500
B 0.333 0.667 0.119
B 0.667 0.333 0.881
Pd 0.167 0.335 0.274
Pd 0.167 0.833 0.274
Pd 0.333 0.667 0.905
Pd 0.335 0.167 0.726
Pd 0.665 0.833 0.274
Pd 0.667 0.333 0.095
Pd 0.833 0.167 0.726
Pd 0.833 0.665 0.726